[1]
4
Lattice="5.6138 0.0535 -0.0369 4.2639 3.6520 -0.0369 1.2762 0.4787 6.0856" Properties=species:S:1:pos:R:3 comment="SrTlIn2 (PBE, relaxed)" delta_e_f_ev_per_atom=-0.22 m_tot_mub_per_cell=0.0 pbc="T T T"
Tl 2.8384 1.0648 1.3533
Sr 5.5666 2.0882 2.9873
In 8.3228 3.1222 4.7271
In 1.2790 0.4798 6.0357

=====

[2]
30
Lattice="6.9893 0.0000 0.0000 0.0000 6.9893 0.0000 0.0000 0.0000 20.5548" Properties=species:S:1:pos:R:3 comment="Sr2Tl12In (PBE, relaxed)" delta_e_f_ev_per_atom=-0.05 m_tot_mub_per_cell=0.0 pbc="T T T"
Tl 1.1701 4.6647 11.6407
Tl 0.0000 0.0000 16.4998
Tl 1.7455 5.2401 18.5546
Tl 4.6647 1.1701 8.9141
Tl 3.4946 3.4946 13.5148
Tl 5.2401 5.2438 18.5546
Tl 0.0000 0.0000 4.0550
Tl 2.3245 5.8192 8.9141
Tl 1.7455 1.7491 2.0002
Tl 1.7491 5.2438 2.0002
Tl 4.6647 5.8192 11.6407
Tl 0.0000 0.0000 7.0400
Tl 3.4946 3.4946 4.0550
Tl 3.4946 3.4946 16.4998
Tl 5.8192 2.3245 11.6407
Tl 0.0000 0.0000 13.5148
Tl 5.8192 4.6647 8.9141
Tl 2.3245 1.1701 11.6407
Tl 1.7491 1.7455 18.5546
Tl 1.1701 2.3245 8.9141
Tl 3.4946 3.4946 7.0400
Tl 5.2438 1.7491 18.5546
Tl 5.2401 1.7455 2.0002
Tl 5.2438 5.2401 2.0002
Sr 3.4946 0.0000 5.3393
Sr 0.0000 3.4946 15.2155
Sr 0.0000 3.4946 5.3393
Sr 3.4946 0.0000 15.2155
In 3.4946 0.0000 0.0000
In 0.0000 3.4946 0.0000

=====

[3]
6
Lattice="4.8862 -0.0375 -2.2442 -3.1439 5.4961 -0.6013 0.0104 0.2943 6.3534" Properties=species:S:1:pos:R:3 comment="SrTlIn4 (PBE, relaxed)" delta_e_f_ev_per_atom=-0.21 m_tot_mub_per_cell=0.0 pbc="T T T"
Tl 2.4483 0.1284 2.0546
Sr -1.5719 2.7481 -0.3006
In -0.0957 2.4120 2.8588
In 0.9618 0.6682 5.1902
In 1.8484 3.3409 0.6492
In 0.7910 5.0847 -1.6823

=====

[4]
6
Lattice="3.9980 0.0000 0.0000 0.0000 5.1667 0.0000 0.0000 0.0000 9.0150" Properties=species:S:1:pos:R:3 comment="Sr2TlIn3 (PBE, relaxed)" delta_e_f_ev_per_atom=-0.37 m_tot_mub_per_cell=0.0 pbc="T T T"
In 1.9990 2.5834 6.0415
In 1.9990 0.0000 7.5101
In 1.9990 0.0000 1.4632
Sr 0.0000 0.0000 4.5021
Sr 0.0000 2.5834 0.0042
Tl 1.9990 2.5834 3.0164

=====

no.,density of states at the Fermi level (states/eV per cell)
1,1.9
2,15.8
3,2.3
4,2.9